Co2SbO2: relaxed, PBE+U.

```
Co2SbO2
1.0
7.3475 0.0000 0.0000
0.0000 7.3475 0.0000
0.0000 0.0000 3.4378
Co Sb O
4 2 4
Direct
0.1803 0.3197 0.0000
0.3197 0.8197 0.0000
0.6803 0.1803 0.0000
0.8197 0.6803 0.0000
0.0000 0.0000 0.0000
0.5000 0.5000 0.0000
0.1584 0.3416 0.5000
0.3416 0.8416 0.5000
0.6584 0.1584 0.5000
0.8416 0.6584 0.5000
```

Computed properties:
Theoretical density, kg/m³: 4861
Energy above the lowest structure with this stoichiometry, meV per atom: 27
Crystal system: tetragonal
E, hartree per atom: -0.1852
Space group: P4/mbm
Total moment, μB per cell: 8.05